Ba2NbTcC | PBE | optimized geometry

```
Ba2NbTcC
1.0
6.137 0.000 0.000
0.000 6.137 0.000
0.000 0.000 3.942
Ba Nb Tc C
2 1 1 1
direct
0.000 0.500 0.000
0.500 0.000 0.000
0.000 0.000 0.500
0.500 0.500 0.000
0.500 0.500 0.500
```

Summary:
The density of states at the Fermi level comes out at 4.31 states/eV per cell. The calculation puts the formation energy at 1374 meV per atom. The crystal system is tetragonal. The value obtained for the final energy is -5.327 eV per atom.

***

BaNd2C | PBE | optimized geometry

```
BaNd2C
1.0
3.761 0.000 0.000
-1.881 3.257 0.000
0.000 0.000 31.676
Ba Nd C
3 6 3
direct
0.000 0.000 0.000
0.333 0.667 0.667
0.667 0.333 0.333
0.000 0.000 0.122
0.000 0.000 0.878
0.333 0.667 0.544
0.333 0.667 0.789
0.667 0.333 0.211
0.667 0.333 0.456
0.000 0.000 0.500
0.333 0.667 0.167
0.667 0.333 0.833
```

Summary:
The density of states at the Fermi level comes out at 15.00 states/eV per cell. The calculation puts the formation energy at 45 meV per atom. The crystal system is trigonal. The value obtained for the final energy is -5.125 eV per atom.

***

BaNi2C2 | PBE | optimized geometry

```
BaNi2C2
1.0
3.522 0.000 0.000
0.000 3.522 0.000
0.000 0.000 11.383
Ba Ni C
2 4 4
direct
0.000 0.000 0.000
0.500 0.500 0.500
0.000 0.500 0.250
0.000 0.500 0.750
0.500 0.000 0.250
0.500 0.000 0.750
0.000 0.000 0.328
0.000 0.000 0.672
0.500 0.500 0.172
0.500 0.500 0.828
```

Summary:
The density of states at the Fermi level comes out at 5.97 states/eV per cell. The calculation puts the formation energy at 268 meV per atom. The crystal system is tetragonal. The value obtained for the final energy is -6.119 eV per atom.

***

BaNi4C4 | PBE | optimized geometry

```
BaNi4C4
1.0
8.167 0.000 0.000
0.000 8.167 0.000
0.000 0.000 3.230
Ba Ni C
2 8 8
direct
0.250 0.250 0.250
0.750 0.750 0.750
0.097 0.701 0.020
0.201 0.903 0.520
0.299 0.597 0.520
0.403 0.799 0.020
0.597 0.201 0.980
0.701 0.403 0.480
0.799 0.097 0.480
0.903 0.299 0.980
0.059 0.560 0.510
0.060 0.941 0.010
0.440 0.559 0.010
0.441 0.940 0.510
0.559 0.060 0.490
0.560 0.441 0.990
0.940 0.059 0.990
0.941 0.440 0.490
```

Summary:
The density of states at the Fermi level comes out at 12.96 states/eV per cell. The calculation puts the formation energy at 319 meV per atom. The crystal system is tetragonal. The value obtained for the final energy is -6.564 eV per atom.

***

Ba2NiC | PBE | optimized geometry

```
Ba2NiC
1.0
7.728 0.000 0.000
0.000 7.728 0.000
0.000 0.000 8.312
Ba Ni C
8 4 4
direct
0.215 0.250 0.125
0.250 0.715 0.375
0.250 0.785 0.875
0.285 0.250 0.625
0.715 0.750 0.625
0.750 0.215 0.875
0.750 0.285 0.375
0.785 0.750 0.125
0.000 0.000 0.500
0.000 0.500 0.750
0.500 0.000 0.250
0.500 0.500 0.000
0.000 0.000 0.000
0.000 0.500 0.250
0.500 0.000 0.750
0.500 0.500 0.500
```

Summary:
The density of states at the Fermi level comes out at 17.54 states/eV per cell. The calculation puts the formation energy at 997 meV per atom. The crystal system is tetragonal. The value obtained for the final energy is -3.716 eV per atom.

***

Question: final energy of number 4 (BaNi4C4)?
Answer: -6.564 eV per atom